Entry 1:
The following is a DFT calculation (GGA-PBE) of a relaxed TmCoNiB crystal.

Cell and atoms, written as CIF:
```
data_TmCoNiB
_chemical_formula_sum 'Tm1 Co1 Ni1 B1'
_space_group_name_H-M_alt 'P 1'
_space_group_IT_number 1
_cell_length_a 3.5855
_cell_length_b 4.9688
_cell_length_c 4.9688
_cell_angle_alpha 40.11
_cell_angle_beta 90.00
_cell_angle_gamma 90.00
loop_
_space_group_symop_operation_xyz
'x,y,z'
loop_
_atom_site_label
_atom_site_type_symbol
_atom_site_fract_x
_atom_site_fract_y
_atom_site_fract_z
Tm1 Tm 0.0000 0.0000 0.0000
Co1 Co 0.5000 0.2429 0.2429
Ni1 Ni 0.0000 0.7227 0.7227
B1 B 0.5000 0.6329 0.6329
```

Values from the calculation:
Its calculated volume is 57 Å³/cell. The energy of formation from the pure elements comes out at -0.23 eV per atom. The calculation puts the energy at -24.94 eV/cell. As for the space group: No. 38.

Entry 2:
The following is a DFT calculation (GGA-PBE) of a relaxed Pm2AgI8 crystal.

Cell and atoms, written as CIF:
```
data_Pm2AgI8
_chemical_formula_sum 'Pm2 Ag1 I8'
_space_group_name_H-M_alt 'P 1'
_space_group_IT_number 1
_cell_length_a 13.5957
_cell_length_b 13.5957
_cell_length_c 6.1655
_cell_angle_alpha 95.60
_cell_angle_beta 95.60
_cell_angle_gamma 31.04
loop_
_space_group_symop_operation_xyz
'x,y,z'
loop_
_atom_site_label
_atom_site_type_symbol
_atom_site_fract_x
_atom_site_fract_y
_atom_site_fract_z
Pm1 Pm 0.1704 0.1704 0.4699
Pm2 Pm 0.8296 0.8296 0.5301
Ag1 Ag 0.0000 0.0000 0.5000
I1 I 0.1764 0.1764 0.9721
I2 I 0.1807 0.6678 0.5712
I3 I 0.2900 0.2900 0.5202
I4 I 0.3322 0.8193 0.4288
I5 I 0.6678 0.1807 0.5712
I6 I 0.7100 0.7100 0.4798
I7 I 0.8193 0.3322 0.4288
I8 I 0.8236 0.8236 0.0279
```

Values from the calculation:
Its calculated volume is 585 Å³/cell. The calculation puts the energy at -35.20 eV/cell. As for the space group: No. 12. The calculation puts the energy relative to the elements, uncorrected at -0.95 eV/atom.

Entry 3:
The following is a DFT calculation (GGA-PBE) of a relaxed KBaO4 crystal.

Cell and atoms, written as CIF:
```
data_KBaO4
_chemical_formula_sum 'K1 Ba1 O4'
_space_group_name_H-M_alt 'P 1'
_space_group_IT_number 1
_cell_length_a 4.2610
_cell_length_b 4.2610
_cell_length_c 7.1439
_cell_angle_alpha 96.59
_cell_angle_beta 96.59
_cell_angle_gamma 64.08
loop_
_space_group_symop_operation_xyz
'x,y,z'
loop_
_atom_site_label
_atom_site_type_symbol
_atom_site_fract_x
_atom_site_fract_y
_atom_site_fract_z
K1 K 0.0000 0.0000 0.0000
Ba1 Ba 0.5000 0.5000 0.5000
O1 O 0.1692 0.1692 0.6560
O2 O 0.3169 0.3169 0.8101
O3 O 0.6831 0.6831 0.1899
O4 O 0.8308 0.8308 0.3440
```

Values from the calculation:
Its calculated volume is 116 Å³/cell. The calculation puts the energy at -30.74 eV/cell. As for the space group: No. 12. The calculation puts the energy relative to the elements, uncorrected at -1.31 eV/atom.

Entry 4:
The following is a DFT calculation (GGA-PBE) of a relaxed BaTaIn2 crystal.

Cell and atoms, written as CIF:
```
data_BaTaIn2
_chemical_formula_sum 'Ba1 Ta1 In2'
_space_group_name_H-M_alt 'P 1'
_space_group_IT_number 1
_cell_length_a 3.3531
_cell_length_b 4.2329
_cell_length_c 8.2590
_cell_angle_alpha 90.00
_cell_angle_beta 90.00
_cell_angle_gamma 90.00
loop_
_space_group_symop_operation_xyz
'x,y,z'
loop_
_atom_site_label
_atom_site_type_symbol
_atom_site_fract_x
_atom_site_fract_y
_atom_site_fract_z
Ba1 Ba 0.0000 0.0000 0.0000
Ta1 Ta 0.5000 0.5000 0.6876
In1 In 0.0000 0.0000 0.5621
In2 In 0.5000 0.5000 0.3278
```

Values from the calculation:
The value obtained for the energy above the lowest structure with this stoichiometry is 257 meV/atom. Its calculated volume is 117 Å³/cell. The energy of formation from the pure elements comes out at 0.42 eV per atom. The calculation puts the energy at -17.57 eV/cell. As for the space group: No. 25.